Record 1
Density functional theory data (PBE) for crystalline SrZn3H at its relaxed geometry.

The structure in POSCAR format:
```
SrZn3H
1.0
4.598 0.000 0.000
0.000 4.598 0.000
0.000 0.000 4.598
Zn H Sr
3 1 1
direct
0.000 0.000 0.500
0.000 0.500 0.000
0.500 0.000 0.000
0.000 0.000 0.000
0.500 0.500 0.500
```

Computed properties:
Its total energy is -7.7 eV/cell. The crystal system is cubic. As for the space group: No. 221.

Record 2
Density functional theory data (PBE) for crystalline Sr2ZnH4 at its relaxed geometry.

The structure in POSCAR format:
```
Sr2ZnH4
1.0
-1.568 -3.547 -0.295
2.441 -1.306 2.731
-4.039 -0.843 5.977
H Zn Sr
4 1 2
direct
0.835 0.835 0.331
0.500 0.000 0.000
0.165 0.165 0.669
0.000 0.500 0.000
0.000 0.000 0.000
0.639 0.639 0.722
0.361 0.361 0.278
```

Computed properties:
Its total energy is -19.3 eV/cell. The crystal system is tetragonal. As for the space group: No. 139.

Record 3
Density functional theory data (PBE) for crystalline Sr2ZnH2 at its relaxed geometry.

The structure in POSCAR format:
```
Sr2ZnH2
1.0
4.061 0.000 0.000
0.000 4.061 0.000
2.031 2.031 6.775
Sr H Zn
2 2 1
direct
0.352 0.352 0.296
0.648 0.648 0.704
0.750 0.250 0.500
0.250 0.750 0.500
0.000 0.000 0.000
```

Computed properties:
The crystal system is tetragonal. The value obtained for the distance to the lowest polymorph of the same formula is 0 meV per atom. As for the space group: No. 139.

Record 4
Density functional theory data (PBE) for crystalline SrZnH at its relaxed geometry.

The structure in POSCAR format:
```
SrZnH
1.0
4.103 0.000 0.000
-2.051 5.651 0.150
0.000 -2.169 6.252
Zn Sr H
2 2 2
direct
0.915 0.829 0.818
0.085 0.171 0.182
0.827 0.655 0.277
0.173 0.345 0.723
0.230 0.460 0.115
0.770 0.540 0.885
```

Computed properties:
The crystal system is monoclinic. The value obtained for the distance to the lowest polymorph of the same formula is 0 meV per atom. As for the space group: No. 12.

Number 1: calculated density 4867 kg/m³. Number 2: calculated density 3996 kg/m³. Number 3: calculated density 3606 kg/m³. Number 4: calculated density 3497 kg/m³.